Record 1
# Re2PN

A relaxed Re2PN crystal (GGA-PBE, Alexandria via LeMat-Bulk).

Values from the calculation:
Crystal system: tetragonal
Total DFT energy (no corrections) in eV/atom: -9.313
Raw formation energy in kcal/mol of atoms: 7.94
Energy above the lowest structure with this stoichiometry in eV per atom: 0.000
Mass density in g cm⁻³: 11.528

Lattice parameters (Å, degrees): 5.0622 5.0622 5.9017 64.60 64.60 90.00
With the nearest neighbours (Å) after each atom.
Positions (direct):
N  0.5000  0.5000  0.0000  4 Re 1.99
N  0.2500  0.7500  0.5000  4 Re 1.99
Re  0.1800  0.6250  0.2500  2 N 1.99
Re  0.5700  0.1250  0.2500  2 N 1.99
Re  0.3750  0.4300  0.7500  2 N 1.99
Re  0.8750  0.8200  0.7500  2 N 1.99
P  0.0000  0.0000  0.0000  4 Re 2.32
P  0.7500  0.2500  0.5000  4 Re 2.32


Record 2
# NaSr3Pt

A relaxed NaSr3Pt crystal (GGA-PBE, Alexandria via LeMat-Bulk).

Values from the calculation:
Crystal system: monoclinic
Total DFT energy (no corrections) in eV/atom: -2.862
Energy above the lowest structure with this stoichiometry in eV per atom: 0.056
Mass density in g cm⁻³: 3.963

Lattice parameters (Å, degrees): 14.8334 10.3912 10.3912 85.80 125.99 54.01
With the nearest neighbours (Å) after each atom.
Positions (direct):
Sr  0.9783  0.6770  0.3892  2 Pt 3.10-3.14
Sr  0.8342  0.2561  0.1897  2 Pt 2.98-3.31
Sr  0.4783  0.1108  0.8230  2 Pt 3.10-3.14
Sr  0.3342  0.3103  0.2439  2 Pt 2.98-3.31
Sr  0.1227  0.0548  0.0684  2 Pt 3.01-3.03
Sr  0.6227  0.4316  0.4452  2 Pt 3.01-3.03
Sr  0.8773  0.9452  0.9316  2 Pt 3.01-3.03
Sr  0.1658  0.7439  0.8103  2 Pt 2.98-3.31
Sr  0.5217  0.8892  0.1770  2 Pt 3.10-3.14
Sr  0.6658  0.6897  0.7561  2 Pt 2.98-3.31
Sr  0.0217  0.3230  0.6108  2 Pt 3.10-3.14
Sr  0.3773  0.5684  0.5548  2 Pt 3.01-3.03
Na  0.6024  0.1874  0.2022  1 Pt 3.07
Na  0.3976  0.8126  0.7978  1 Pt 3.07
Na  0.1024  0.2978  0.3126  1 Pt 3.07
Na  0.8976  0.7022  0.6874  1 Pt 3.07
Pt  0.2500  0.3585  0.8585  2 Na 3.07, 6 Sr 3.10-3.31
Pt  0.7500  0.6415  0.1415  2 Na 3.07, 6 Sr 3.10-3.31
Pt  0.2500  0.6664  0.1664  6 Sr 2.98-3.03
Pt  0.7500  0.3336  0.8336  6 Sr 2.98-3.03


Record 3
# Cs2HgSBr

A relaxed Cs2HgSBr crystal (GGA-PBE, Alexandria via LeMat-Bulk).

Values from the calculation:
Crystal system: tetragonal
Total DFT energy (no corrections) in eV/atom: -2.569
Raw formation energy in kcal/mol of atoms: -23.24
Mass density in g cm⁻³: 4.002

Lattice parameters (Å, degrees): 6.8215 6.8215 5.1568 90.00 90.00 90.00
With the nearest neighbours (Å) after each atom.
Positions (direct):
Cs  0.5000  0.0000  0.0000  2 S 3.41
Cs  0.0000  0.5000  0.0000  2 S 3.41
S  0.0000  0.0000  0.0000  2 Hg 2.58
Br  0.5000  0.5000  0.5000  8 Cs 4.28
Hg  0.0000  0.0000  0.5000  2 S 2.58


Question: What is the total DFT energy (no corrections) in the second record?
Answer: -2.862 eV/atom


Question: total DFT energy (no corrections) of number 3 (Cs2HgSBr)?
Answer: -2.569 eV/atom